A relaxed structure of SrFe2Cu, computed with PBE-GGA.

crystal system	cubic
size of the total moment	5.11	μB per cell
calculated total energy	-19.20	eV per cell

Cell and atoms, written as extended XYZ:
```
4
Lattice="0.0000 3.2568 3.2568 3.2568 0.0000 3.2568 3.2568 3.2568 0.0000" Properties=species:S:1:pos:R:3 pbc="T T T"
Sr 0.0000 0.0000 0.0000
Fe 3.2568 3.2568 3.2568
Fe 4.8851 4.8851 4.8851
Cu 1.6284 1.6284 1.6284
```